TmSnPb2Se5: optimized geometry, GGA-PBE.

Values from the calculation:
uncorrected energy	-4.50	eV per atom
total magnetization	0.000	μB/cell
formation energy from raw total energies	-697	kJ/mol of formula units

Cell and atoms, written as POSCAR:
```
TmSnPb2Se5
1.0
4.1873 0.0000 0.0000
-2.0936 9.1008 0.0000
0.0000 0.0000 13.6628
Tm Sn Pb Se
2 2 4 10
Direct
0.7875 0.5750 0.5244 Tm
0.2125 0.4250 0.0244 Tm
0.5436 0.0873 0.9445 Sn
0.4564 0.9127 0.4445 Sn
0.8670 0.7341 0.7979 Pb
0.1176 0.2351 0.6588 Pb
0.1330 0.2659 0.2979 Pb
0.8824 0.7649 0.1588 Pb
0.3660 0.7320 0.0086 Se
0.6875 0.3749 0.8859 Se
0.4838 0.9676 0.7635 Se
0.2796 0.5592 0.6675 Se
0.9448 0.8895 0.5729 Se
0.6340 0.2680 0.5086 Se
0.3125 0.6251 0.3859 Se
0.5162 0.0324 0.2635 Se
0.7204 0.4408 0.1675 Se
0.0552 0.1105 0.0729 Se
```